## i
A relaxed structure of Ca2GePb. Source: Alexandria, functional PBE.

a = 3.8615 Å, b = 3.8615 Å, c = 7.3955 Å
α = 90.00°, β = 90.00°, γ = 90.00°
Fractional positions:
Ca (0.0000, 0.0000, 0.2262)
Ca (0.0000, 0.0000, 0.7738)
Ge (0.5000, 0.5000, 0.0000)
Pb (0.5000, 0.5000, 0.5000)

Values from the calculation:
symmetry	P4/mmm (123)



## ii
A relaxed structure of Ca2GePb. Source: Alexandria, functional PBE.

a = 6.8430 Å, b = 6.8430 Å, c = 6.8430 Å
α = 104.09°, β = 104.09°, γ = 120.87°
Fractional positions:
Ca (0.0968, 0.6250, 0.9718)
Ca (0.3750, 0.3468, 0.4718)
Ca (0.6532, 0.1250, 0.0282)
Ca (0.8750, 0.9032, 0.5282)
Ge (0.0000, 0.0000, 0.0000)
Ge (0.7500, 0.2500, 0.5000)
Pb (0.2500, 0.7500, 0.5000)
Pb (0.5000, 0.5000, 0.0000)

Values from the calculation:
symmetry	I-42d (122)



## iii
A relaxed structure of Ca2GePb. Source: Alexandria, functional PBE.

a = 5.3852 Å, b = 5.3852 Å, c = 5.3852 Å
α = 60.00°, β = 60.00°, γ = 60.00°
Fractional positions:
Ca (0.2500, 0.2500, 0.2500)
Ca (0.7500, 0.7500, 0.7500)
Ge (0.0000, 0.0000, 0.0000)
Pb (0.5000, 0.5000, 0.5000)

Values from the calculation:
symmetry	Fm-3m (225)



It is i that is most stable; the runner-up trails by 0.019 eV/atom.



## i
A relaxed structure of CaGePb3. Source: Alexandria, functional PBE.

a = 5.5863 Å, b = 5.5863 Å, c = 5.5863 Å
α = 90.00°, β = 90.00°, γ = 90.00°
Fractional positions:
Ca (0.0000, 0.0000, 0.0000)
Ge (0.5000, 0.5000, 0.5000)
Pb (0.0000, 0.5000, 0.5000)
Pb (0.5000, 0.0000, 0.5000)
Pb (0.5000, 0.5000, 0.0000)

Values from the calculation:
symmetry	Pm-3m (221)



## ii
A relaxed structure of CaGePb3. Source: Alexandria, functional PBE.

a = 5.8030 Å, b = 5.8030 Å, c = 5.8030 Å
α = 90.00°, β = 90.00°, γ = 90.00°
Fractional positions:
Ca (0.0000, 0.0000, 0.0000)
Ge (0.5000, 0.5000, 0.5000)
Pb (0.0000, 0.0000, 0.5000)
Pb (0.0000, 0.5000, 0.0000)
Pb (0.5000, 0.0000, 0.0000)

Values from the calculation:
symmetry	Pm-3m (221)



It is i that is most stable; the runner-up trails by 0.600 eV/atom.



## i
A relaxed structure of CaGePb. Source: Alexandria, functional PBE.

a = 9.4405 Å, b = 9.4405 Å, c = 4.0270 Å
α = 90.00°, β = 90.00°, γ = 152.62°
Fractional positions:
Ca (0.0889, 0.9111, 0.7500)
Ca (0.9111, 0.0889, 0.2500)
Ge (0.4565, 0.5435, 0.7500)
Ge (0.5435, 0.4565, 0.2500)
Pb (0.2888, 0.7112, 0.7500)
Pb (0.7112, 0.2888, 0.2500)

Values from the calculation:
symmetry	Cmcm (63)



## ii
A relaxed structure of CaGePb. Source: Alexandria, functional PBE.

a = 5.3997 Å, b = 5.3997 Å, c = 5.3997 Å
α = 132.18°, β = 132.18°, γ = 69.95°
Fractional positions:
Ca (0.0000, 0.0000, 0.0000)
Ge (0.6596, 0.6596, 0.0000)
Pb (0.3433, 0.3433, 0.0000)

Values from the calculation:
symmetry	I4mm (107)



It is i that is most stable; the runner-up trails by 0.245 eV/atom.



## i
A relaxed structure of CaGePb. Source: Alexandria, functional PBE.

a = 5.5290 Å, b = 3.9056 Å, c = 7.7655 Å
α = 90.00°, β = 90.60°, γ = 90.00°
Fractional positions:
Ca (0.1157, 0.2500, 0.2626)
Ca (0.8843, 0.7500, 0.7374)
Ge (0.3530, 0.7500, 0.5190)
Ge (0.6470, 0.2500, 0.4810)
Pb (0.3806, 0.2500, 0.8498)
Pb (0.6194, 0.7500, 0.1502)

Values from the calculation:
symmetry	P2_1/m (11)



## ii
A relaxed structure of CaGePb. Source: Alexandria, functional PBE.

a = 6.6391 Å, b = 6.6391 Å, c = 7.5970 Å
α = 124.35°, β = 124.35°, γ = 39.30°
Fractional positions:
Ca (0.2303, 0.2303, 0.1962)
Ca (0.7697, 0.7697, 0.8038)
Ge (0.0712, 0.0712, 0.7059)
Ge (0.9288, 0.9288, 0.2941)
Pb (0.4434, 0.4434, 0.7484)
Pb (0.5566, 0.5566, 0.2516)

Values from the calculation:
symmetry	C2/m (12)



## iii
A relaxed structure of CaGePb. Source: Alexandria, functional PBE.

a = 8.0456 Å, b = 8.0456 Å, c = 5.6071 Å
α = 102.00°, β = 102.00°, γ = 27.82°
Fractional positions:
Ca (0.1340, 0.1340, 0.3090)
Ca (0.8660, 0.8660, 0.6910)
Ge (0.2371, 0.2371, 0.8467)
Ge (0.7629, 0.7629, 0.1533)
Pb (0.4312, 0.4312, 0.2276)
Pb (0.5688, 0.5688, 0.7724)

Values from the calculation:
symmetry	C2/m (12)



## iv
A relaxed structure of CaGePb. Source: Alexandria, functional PBE.

a = 5.2046 Å, b = 5.2046 Å, c = 3.4827 Å
α = 90.00°, β = 90.00°, γ = 120.00°
Fractional positions:
Ca (0.0000, 0.0000, 0.0000)
Ge (0.3333, 0.6667, 0.5000)
Pb (0.6667, 0.3333, 0.5000)

Values from the calculation:
symmetry	P-6m2 (187)



It is iii that is most stable; the runner-up trails by 0.007 eV/atom.



## i
A relaxed structure of CaGePb. Source: Alexandria, functional PBE.

a = 6.0056 Å, b = 6.0059 Å, c = 6.0165 Å
α = 103.69°, β = 119.46°, γ = 105.64°
Fractional positions:
Ca (0.0000, 0.0000, 0.0000)
Ca (0.1590, 0.6669, 0.5098)
Ge (0.0360, 0.1437, 0.5533)
Ge (0.5905, 0.1455, 0.1074)
Pb (0.4721, 0.6285, 0.1577)
Pb (0.6486, 0.3407, 0.6927)

Values from the calculation:
symmetry	P1 (1)



## ii
A relaxed structure of CaGePb. Source: Alexandria, functional PBE.

a = 4.3934 Å, b = 4.3934 Å, c = 5.1387 Å
α = 90.00°, β = 90.00°, γ = 120.00°
Fractional positions:
Ca (0.0000, 0.0000, 0.0000)
Ge (0.6667, 0.3333, 0.6962)
Pb (0.3333, 0.6667, 0.4397)

Values from the calculation:
symmetry	P3m1 (156)



It is i that is most stable; the runner-up trails by 0.007 eV/atom.



## i
A relaxed structure of Ca2Ge5Pd3. Source: Alexandria, functional PBE.

a = 8.5933 Å, b = 8.5933 Å, c = 8.5933 Å
α = 104.87°, β = 89.56°, γ = 138.67°
Fractional positions:
Ca (0.1327, 0.2325, 0.3651)
Ca (0.3673, 0.7325, 0.0998)
Ca (0.6327, 0.2675, 0.9002)
Ca (0.8673, 0.7675, 0.6348)
Ge (0.0264, 0.7500, 0.2764)
Ge (0.1038, 0.6577, 0.7615)
Ge (0.2500, 0.2500, 0.0000)
Ge (0.3962, 0.1577, 0.5539)
Ge (0.4736, 0.7500, 0.7236)
Ge (0.5264, 0.2500, 0.2764)
Ge (0.6038, 0.8423, 0.4461)
Ge (0.7500, 0.7500, 0.0000)
Ge (0.8962, 0.3423, 0.2385)
Ge (0.9736, 0.2500, 0.7236)
Pd (0.1399, 0.8881, 0.0280)
Pd (0.2500, 0.7500, 0.5000)
Pd (0.3601, 0.3881, 0.7482)
Pd (0.6399, 0.6119, 0.2518)
Pd (0.7500, 0.2500, 0.5000)
Pd (0.8601, 0.1119, 0.9720)

Values from the calculation:
symmetry	Ibam (72)



## ii
A relaxed structure of Ca2Ge5Pd3. Source: Alexandria, functional PBE.

a = 12.5869 Å, b = 12.5869 Å, c = 6.9321 Å
α = 90.00°, β = 90.00°, γ = 159.89°
Fractional positions:
Ca (0.0193, 0.9807, 0.5000)
Ca (0.3240, 0.6760, 0.5190)
Ca (0.6760, 0.3240, 0.0190)
Ca (0.9807, 0.0193, 0.0000)
Ge (0.1016, 0.8984, 0.8561)
Ge (0.2055, 0.7945, 0.3239)
Ge (0.2071, 0.7929, 0.7299)
Ge (0.3831, 0.6169, 0.9751)
Ge (0.4512, 0.5488, 0.6705)
Ge (0.5488, 0.4512, 0.1705)
Ge (0.6169, 0.3831, 0.4751)
Ge (0.7929, 0.2071, 0.2299)
Ge (0.7945, 0.2055, 0.8239)
Ge (0.8984, 0.1016, 0.3561)
Pd (0.1068, 0.8932, 0.2275)
Pd (0.2789, 0.7211, 0.0288)
Pd (0.4441, 0.5559, 0.2858)
Pd (0.5559, 0.4441, 0.7858)
Pd (0.7211, 0.2789, 0.5288)
Pd (0.8932, 0.1068, 0.7275)

Values from the calculation:
symmetry	Cmc2_1 (36)



It is i that is most stable; the runner-up trails by 0.034 eV/atom.



## i
A relaxed structure of Ca2GePd6. Source: Alexandria, functional PBE.

a = 5.7839 Å, b = 5.7839 Å, c = 5.7155 Å
α = 90.01°, β = 90.01°, γ = 60.00°
Fractional positions:
Ca (0.1673, 0.1673, 0.3246)
Ca (0.8327, 0.8327, 0.6754)
Ge (0.5000, 0.5000, 0.5000)
Pd (0.1554, 0.6728, 0.1943)
Pd (0.3270, 0.3270, 0.8050)
Pd (0.3272, 0.8446, 0.8057)
Pd (0.6728, 0.1554, 0.1943)
Pd (0.6730, 0.6730, 0.1950)
Pd (0.8446, 0.3272, 0.8057)

Values from the calculation:
symmetry	C2/m (12)



## ii
A relaxed structure of Ca2GePd6. Source: Alexandria, functional PBE.

a = 5.7395 Å, b = 5.7395 Å, c = 6.0562 Å
α = 103.40°, β = 103.40°, γ = 60.04°
Fractional positions:
Ca (0.1414, 0.1414, 0.3346)
Ca (0.8586, 0.8586, 0.6654)
Ge (0.5000, 0.5000, 0.5000)
Pd (0.1050, 0.6231, 0.1906)
Pd (0.3769, 0.8950, 0.8094)
Pd (0.3809, 0.3809, 0.8065)
Pd (0.6191, 0.6191, 0.1935)
Pd (0.6231, 0.1050, 0.1906)
Pd (0.8950, 0.3769, 0.8094)

Values from the calculation:
symmetry	C2/m (12)



It is ii that is most stable; the runner-up trails by 0.015 eV/atom.



## i
A relaxed structure of CaGe3Pd2. Source: Alexandria, functional PBE.

a = 8.4587 Å, b = 8.4587 Å, c = 10.0930 Å
α = 104.44°, β = 104.44°, γ = 29.53°
Fractional positions:
Ca (0.0000, 0.0000, 0.0000)
Ca (0.1529, 0.1529, 0.7071)
Ca (0.8471, 0.8471, 0.2929)
Ge (0.0521, 0.0521, 0.3590)
Ge (0.2180, 0.2180, 0.3550)
Ge (0.3539, 0.3539, 0.0694)
Ge (0.3614, 0.3614, 0.8178)
Ge (0.5000, 0.5000, 0.5000)
Ge (0.6386, 0.6386, 0.1822)
Ge (0.6461, 0.6461, 0.9306)
Ge (0.7820, 0.7820, 0.6450)
Ge (0.9479, 0.9479, 0.6410)
Pd (0.2013, 0.2013, 0.0824)
Pd (0.3498, 0.3498, 0.5452)
Pd (0.4943, 0.4943, 0.2340)
Pd (0.5057, 0.5057, 0.7660)
Pd (0.6502, 0.6502, 0.4548)
Pd (0.7987, 0.7987, 0.9176)

Values from the calculation:
symmetry	C2/m (12)



## ii
A relaxed structure of CaGe3Pd2. Source: Alexandria, functional PBE.

a = 6.4049 Å, b = 6.4049 Å, c = 6.0639 Å
α = 90.00°, β = 90.00°, γ = 94.02°
Fractional positions:
Ca (0.2122, 0.7878, 0.7500)
Ca (0.7878, 0.2122, 0.2500)
Ge (0.0336, 0.2535, 0.7500)
Ge (0.2535, 0.0336, 0.2500)
Ge (0.3530, 0.6470, 0.2500)
Ge (0.6470, 0.3530, 0.7500)
Ge (0.7465, 0.9664, 0.7500)
Ge (0.9664, 0.7465, 0.2500)
Pd (0.3321, 0.3321, 0.0000)
Pd (0.3321, 0.3321, 0.5000)
Pd (0.6679, 0.6679, 0.0000)
Pd (0.6679, 0.6679, 0.5000)

Values from the calculation:
symmetry	Cmcm (63)



It is i that is most stable; the runner-up trails by 0.096 eV/atom.



## i
A relaxed structure of CaGe2Pd6. Source: Alexandria, functional PBE.

a = 4.2250 Å, b = 4.2250 Å, c = 8.7449 Å
α = 90.00°, β = 90.00°, γ = 90.00°
Fractional positions:
Ca (0.0000, 0.0000, 0.0000)
Ge (0.5000, 0.5000, 0.1449)
Ge (0.5000, 0.5000, 0.8551)
Pd (0.0000, 0.0000, 0.5000)
Pd (0.0000, 0.5000, 0.2877)
Pd (0.0000, 0.5000, 0.7123)
Pd (0.5000, 0.0000, 0.2877)
Pd (0.5000, 0.0000, 0.7123)
Pd (0.5000, 0.5000, 0.5000)

Values from the calculation:
symmetry	P4/mmm (123)



## ii
A relaxed structure of CaGe2Pd6. Source: Alexandria, functional PBE.

a = 8.0304 Å, b = 8.0304 Å, c = 8.0304 Å
α = 60.00°, β = 60.00°, γ = 60.00°
Fractional positions:
Ca (0.1250, 0.1250, 0.1250)
Ca (0.8750, 0.8750, 0.8750)
Ge (0.0000, 0.5000, 0.5000)
Ge (0.5000, 0.0000, 0.5000)
Ge (0.5000, 0.5000, 0.0000)
Ge (0.5000, 0.5000, 0.5000)
Pd (0.1300, 0.1300, 0.6200)
Pd (0.1300, 0.6200, 0.1300)
Pd (0.1300, 0.6200, 0.6200)
Pd (0.3800, 0.3800, 0.8700)
Pd (0.3800, 0.8700, 0.3800)
Pd (0.3800, 0.8700, 0.8700)
Pd (0.6200, 0.1300, 0.1300)
Pd (0.6200, 0.1300, 0.6200)
Pd (0.6200, 0.6200, 0.1300)
Pd (0.8700, 0.3800, 0.3800)
Pd (0.8700, 0.3800, 0.8700)
Pd (0.8700, 0.8700, 0.3800)

Values from the calculation:
symmetry	Fd-3m (227)



It is i that is most stable; the runner-up trails by 0.208 eV/atom.